[1]
DFT (PBE-GGA) results for WSeCl2 after structural relaxation.

The structure in POSCAR format:
```
WSeCl2
1.0
15.040 0.000 0.000
0.000 3.035 0.000
-1.355 0.000 4.328
W Se Cl
2 2 4
Direct
0.000 0.000 0.000 W
0.500 0.500 0.000 W
0.000 0.500 0.500 Se
0.500 0.000 0.500 Se
0.139 0.500 0.138 Cl
0.361 0.000 0.862 Cl
0.639 0.000 0.138 Cl
0.861 0.500 0.862 Cl
```

Values from the calculation:
Distance to the lowest polymorph of the same formula in eV per atom: 0.3478
Fermi-level density of states in states/eV per atom: 0.681

=====

[2]
DFT (PBE-GGA) results for Er8As4PSe3 after structural relaxation.

The structure in POSCAR format:
```
Er8As4PSe3
1.0
4.056 2.342 6.613
-4.056 2.342 6.613
0.000 -4.684 6.613
Er As P Se
8 4 1 3
Direct
0.240 0.753 0.753 Er
0.246 0.246 0.246 Er
0.247 0.247 0.760 Er
0.247 0.760 0.247 Er
0.753 0.240 0.753 Er
0.753 0.753 0.240 Er
0.754 0.754 0.754 Er
0.760 0.247 0.247 Er
0.000 0.000 0.500 As
0.000 0.500 0.000 As
0.500 0.000 0.000 As
0.500 0.500 0.500 As
0.000 0.000 0.000 P
0.000 0.500 0.500 Se
0.500 0.000 0.500 Se
0.500 0.500 0.000 Se
```

Values from the calculation:
Fermi-level density of states in states/eV per atom: 0.274

=====

| no. | formation energy (no corrections) (eV per atom) |
| --- | --- |
| 1 | -0.101 |
| 2 | -1.664 |